The following is a PBE calculation of a relaxed Nb6Ga3Rh crystal, from Alexandria via LeMat-Bulk.

Calculated values
The space group is P2_1/c (14). The energy of formation from the pure elements is -0.066 eV/atom.

Cell and atoms, written as POSCAR:
```
Nb6Ga3Rh
1.0
7.722 0.000 0.321
0.000 6.473 0.000
0.462 0.000 7.120
Nb Ga Rh
12 6 2
Direct
0.648 0.119 0.955
0.702 0.192 0.570
0.799 0.364 0.226
0.201 0.636 0.774
0.298 0.808 0.430
0.352 0.881 0.045
0.148 0.381 0.455
0.202 0.308 0.070
0.299 0.136 0.726
0.701 0.864 0.274
0.798 0.692 0.930
0.852 0.619 0.545
0.548 0.818 0.695
0.500 0.500 0.000
0.452 0.182 0.305
0.048 0.682 0.195
0.000 0.000 0.500
0.952 0.318 0.805
0.500 0.500 0.500
0.000 0.000 0.000
```


The following is a PBE calculation of a relaxed Rb2TlOsO6 crystal, from Alexandria via LeMat-Bulk.

Calculated values
The uncorrected formation energy is -1068 meV per atom. The space group is P-3m1 (164).

Cell and atoms, written as POSCAR:
```
Rb2TlOsO6
1.0
-4.391 2.686 3.210
-3.762 -5.049 -0.921
3.841 0.223 5.068
Rb Tl Os O
2 1 1 6
Direct
0.141 0.333 0.667
0.859 0.667 0.333
0.500 0.000 0.000
0.000 0.000 0.000
0.813 0.138 0.275
0.813 0.138 0.862
0.813 0.725 0.862
0.187 0.862 0.138
0.187 0.275 0.138
0.187 0.862 0.725
```


no.,volume (Å³/cell)
1,354.9
2,212.8